DyBe4Ge3O12: optimized geometry, PBE.

a b c (Å): 6.1456 6.1456 6.1456
angles (deg): 105.88 105.88 105.88
Each line ends with the local moment (μB).
Positions (direct):
Be  0.5000  0.5000  0.5000  0.00
Ge  0.0000  0.5598  0.4402  -0.01
Ge  0.4402  0.0000  0.5598  -0.01
Dy  0.0000  0.0000  0.0000  -0.01
O  0.5000  0.0926  0.9074  0.11
O  0.9687  0.2330  0.3555  0.08
Ge  0.5598  0.4402  0.0000  -0.01
O  0.5000  0.3415  0.6585  0.05
O  0.6445  0.7670  0.0313  0.08
Be  0.0656  0.5000  0.9344  0.00
O  0.7670  0.0313  0.6445  0.08
O  0.0926  0.9074  0.5000  0.11
Be  0.5000  0.9344  0.0656  0.00
O  0.9074  0.5000  0.0926  0.11
O  0.3555  0.9687  0.2330  0.08
O  0.0313  0.6445  0.7670  0.08
Be  0.9344  0.0656  0.5000  0.00
O  0.3415  0.6585  0.5000  0.05
O  0.6585  0.5000  0.3415  0.05
O  0.2330  0.3555  0.9687  0.08

Properties
Volume   199 Å³/cell
Space group   R32, No. 155
Uncorrected energy   -6.7969 eV/atom
Calculated density   5.08 g/cm³
Uncorrected formation energy   -2.154 eV per atom